1.
Below is crystalline Ti3Zn2Ir at its relaxed geometry, with properties calculated at the GGA-PBE level.

Structure (POSCAR):
```
Ti3Zn2Ir
1.0
3.1645 0.0000 0.0000
0.0000 3.1645 0.0000
0.0000 0.0000 9.2243
Ti Zn Ir
3 2 1
Direct
0.0000 0.0000 0.0000
0.0000 0.0000 0.3380
0.0000 0.0000 0.6620
0.5000 0.5000 0.1687
0.5000 0.5000 0.8313
0.5000 0.5000 0.5000
```

Output
- Formation energy: -0.4115 eV/atom
- Uncorrected energy: -6.260 eV/atom

2.
Below is crystalline Mg4Sc5Zn at its relaxed geometry, with properties calculated at the GGA-PBE level.

Structure (POSCAR):
```
Mg4Sc5Zn
1.0
3.4964 0.0000 0.0000
0.0000 3.4964 0.0000
0.0000 0.0000 18.2463
Mg Sc Zn
4 5 1
Direct
0.0000 0.0000 0.1028
0.0000 0.0000 0.3081
0.0000 0.0000 0.6919
0.0000 0.0000 0.8972
0.5000 0.5000 0.0000
0.5000 0.5000 0.2055
0.5000 0.5000 0.4133
0.5000 0.5000 0.5867
0.5000 0.5000 0.7945
0.0000 0.0000 0.5000
```

Output
- Formation energy: -0.1015 eV/atom
- Uncorrected energy: -4.032 eV/atom

3.
Below is crystalline KHf2PaO8 at its relaxed geometry, with properties calculated at the GGA-PBE level.

Structure (POSCAR):
```
KHf2PaO8
1.0
3.7146 -3.5219 0.0000
3.7146 3.5219 0.0000
-0.0314 0.0000 7.2954
K Hf Pa O
1 2 1 8
Direct
0.0000 0.0000 0.0000
0.4999 0.4999 0.2864
0.5001 0.5001 0.7136
0.0000 0.0000 0.5000
0.2093 0.7886 0.2912
0.2114 0.7907 0.7088
0.3181 0.3181 0.4998
0.3971 0.3971 0.9991
0.6029 0.6029 0.0009
0.6819 0.6819 0.5002
0.7886 0.2093 0.2912
0.7907 0.2114 0.7088
```

Output
- Uncorrected energy: -8.716 eV/atom
- Formation energy from raw total energies: -2.869 eV per atom

no.,total moment (μB/cell)
1,0.00
2,0.01
3,0.07